First-principles (PBE) data for a relaxed YSi3Ni crystal, as listed in Alexandria via LeMat-Bulk.

extended XYZ file:
```
5
Lattice="5.202 0.000 0.000 0.000 5.202 0.000 0.000 0.000 5.202" Properties=species:S:1:pos:R:3 pbc="T T T"
Y 0.000 0.000 0.000
Si 0.000 0.000 2.601
Si 0.000 2.601 0.000
Si 2.601 0.000 0.000
Ni 2.601 2.601 2.601
```

Summary:
calculated total energy = -4.069 eV/atom
SG = Pm-3m, No. 221
D(E_F) = 1.15 states/eV/atom
uncorrected formation energy = 158 kJ per mole of atoms
calculated volume = 28.146 Å³ per atom

***

First-principles (PBE) data for a relaxed YSi2Ni crystal, as listed in Alexandria via LeMat-Bulk.

extended XYZ file:
```
4
Lattice="3.970 0.000 0.000 0.000 3.934 0.000 -0.029 0.000 4.751" Properties=species:S:1:pos:R:3 pbc="T T T"
Y 0.000 0.000 0.000
Si 1.948 1.967 3.569
Si 1.993 1.967 1.182
Ni 1.970 0.000 2.375
```

Summary:
calculated total energy = -6.334 eV/atom
SG = P2/m, No. 10
D(E_F) = 0.24 states/eV/atom
uncorrected formation energy = -54 kJ per mole of atoms
calculated volume = 18.549 Å³ per atom

***

First-principles (PBE) data for a relaxed YSiNi2 crystal, as listed in Alexandria via LeMat-Bulk.

extended XYZ file:
```
4
Lattice="0.000 3.142 3.142 3.142 0.000 3.142 3.142 3.142 0.000" Properties=species:S:1:pos:R:3 pbc="T T T"
Y 0.000 0.000 0.000
Si 4.713 4.713 4.713
Ni 1.571 1.571 1.571
Ni 3.142 3.142 3.142
```

Summary:
calculated total energy = -6.031 eV/atom
SG = F-43m, No. 216
D(E_F) = 0.95 states/eV/atom
uncorrected formation energy = -16 kJ per mole of atoms
calculated volume = 15.512 Å³ per atom

***

First-principles (PBE) data for a relaxed YSiNi2 crystal, as listed in Alexandria via LeMat-Bulk.

extended XYZ file:
```
8
Lattice="-2.210 2.210 7.683 2.210 -2.210 7.683 2.210 2.210 -7.683" Properties=species:S:1:pos:R:3 pbc="T T T"
Y 0.000 0.000 0.000
Y 0.000 2.210 3.842
Si 2.210 0.000 3.842
Si 0.000 0.000 7.683
Ni 1.105 -0.246 5.763
Ni 1.964 1.105 1.921
Ni 1.105 2.456 -1.921
Ni 0.246 1.105 9.604
```

Summary:
calculated total energy = -6.189 eV/atom
SG = I-42d, No. 122
D(E_F) = 0.73 states/eV/atom
uncorrected formation energy = -32 kJ per mole of atoms
calculated volume = 18.759 Å³ per atom

***

First-principles (PBE) data for a relaxed YSi2Ni crystal, as listed in Alexandria via LeMat-Bulk.

extended XYZ file:
```
4
Lattice="3.999 0.000 0.000 0.000 3.999 0.000 0.000 0.000 4.089" Properties=species:S:1:pos:R:3 pbc="T T T"
Y 0.000 0.000 0.000
Si 0.000 1.999 2.045
Si 1.999 0.000 2.045
Ni 1.999 1.999 0.000
```

Summary:
calculated total energy = -6.084 eV/atom
SG = P4/mmm, No. 123
D(E_F) = 0.68 states/eV/atom
uncorrected formation energy = -30 kJ per mole of atoms
calculated volume = 16.348 Å³ per atom

***

First-principles (PBE) data for a relaxed YSi2Ni crystal, as listed in Alexandria via LeMat-Bulk.

extended XYZ file:
```
4
Lattice="-1.928 1.928 4.574 1.928 -1.928 4.574 1.928 1.928 -4.574" Properties=species:S:1:pos:R:3 pbc="T T T"
Y 0.000 0.000 0.000
Si 1.928 0.000 2.287
Si 0.000 1.928 2.287
Ni 0.000 0.000 4.574
```

Summary:
calculated total energy = -5.850 eV/atom
SG = I4/mmm, No. 139
D(E_F) = 1.05 states/eV/atom
uncorrected formation energy = -7 kJ per mole of atoms
calculated volume = 17.009 Å³ per atom

***

Repeat the fifth record exactly.
First-principles (PBE) data for a relaxed YSi2Ni crystal, as listed in Alexandria via LeMat-Bulk.

extended XYZ file:
```
4
Lattice="3.999 0.000 0.000 0.000 3.999 0.000 0.000 0.000 4.089" Properties=species:S:1:pos:R:3 pbc="T T T"
Y 0.000 0.000 0.000
Si 0.000 1.999 2.045
Si 1.999 0.000 2.045
Ni 1.999 1.999 0.000
```

Summary:
calculated total energy = -6.084 eV/atom
SG = P4/mmm, No. 123
D(E_F) = 0.68 states/eV/atom
uncorrected formation energy = -30 kJ per mole of atoms
calculated volume = 16.348 Å³ per atom

***

> Which formula does entry 1 have?

YSi3Ni

***

> What is the formula in the fourth record?

YSiNi2